A geometry-optimized Be2TlPt2 structure. Source: Alexandria via LeMat-Bulk, functional PBE-GGA.

```
10
Lattice="7.128 0.000 0.000 0.000 7.128 0.000 0.000 0.000 2.811" Properties=species:S:1:pos:R:3 pbc="T T T"
Be 0.905 2.659 0.000
Be 2.659 6.222 0.000
Be 4.469 0.905 0.000
Be 6.222 4.469 0.000
Tl 0.000 0.000 0.000
Tl 3.564 3.564 0.000
Pt 1.080 4.644 1.406
Pt 2.483 1.080 1.406
Pt 4.644 6.047 1.406
Pt 6.047 2.483 1.406
```

## Properties
DFT total energy   -4.66 eV/atom
Energy relative to the elements   -0.281 eV per atom
Energy above the most stable polymorph in this dataset   0.065 eV/atom
Total moment   0.00 μB/atom

---

A geometry-optimized BeTl3Pt structure. Source: Alexandria via LeMat-Bulk, functional PBE-GGA.

```
5
Lattice="5.347 0.000 0.000 0.000 5.347 0.000 0.000 0.000 5.347" Properties=species:S:1:pos:R:3 pbc="T T T"
Be 0.000 0.000 0.000
Tl 0.000 2.674 2.674
Tl 2.674 0.000 2.674
Tl 2.674 2.674 0.000
Pt 2.674 2.674 2.674
```

## Properties
DFT total energy   -2.81 eV/atom
Energy relative to the elements   0.562 eV per atom
Energy above the most stable polymorph in this dataset   0.039 eV/atom
Total moment   0.00 μB/atom

---

A geometry-optimized BeTl2Pt2 structure. Source: Alexandria via LeMat-Bulk, functional PBE-GGA.

```
10
Lattice="6.077 0.000 0.000 0.000 6.077 0.000 0.000 0.000 5.234" Properties=species:S:1:pos:R:3 pbc="T T T"
Be 0.000 0.000 0.000
Be 3.038 3.038 0.000
Tl 1.160 1.878 2.617
Tl 1.878 4.917 2.617
Tl 4.198 1.160 2.617
Tl 4.917 4.198 2.617
Pt 0.956 3.994 0.000
Pt 2.083 0.956 0.000
Pt 3.994 5.121 0.000
Pt 5.121 2.083 0.000
```

## Properties
DFT total energy   -4.13 eV/atom
Energy relative to the elements   -0.019 eV per atom
Total moment   0.00 μB/atom

---

A geometry-optimized Be2TlPt structure. Source: Alexandria via LeMat-Bulk, functional PBE-GGA.

```
4
Lattice="4.173 0.000 0.000 0.000 4.173 0.000 0.000 0.000 3.210" Properties=species:S:1:pos:R:3 pbc="T T T"
Be 0.000 2.087 0.000
Be 2.087 0.000 0.000
Tl 0.000 0.000 1.605
Pt 2.087 2.087 1.605
```

## Properties
DFT total energy   -3.77 eV/atom
Energy relative to the elements   0.191 eV per atom
Energy above the most stable polymorph in this dataset   0.322 eV/atom
Total moment   0.00 μB/atom

---

A geometry-optimized Be2TlPt structure. Source: Alexandria via LeMat-Bulk, functional PBE-GGA.

```
8
Lattice="4.195 0.000 0.000 0.000 5.045 0.000 0.000 0.000 5.600" Properties=species:S:1:pos:R:3 pbc="T T T"
Be 0.000 0.000 1.163
Be 0.000 0.000 4.437
Be 2.098 2.522 1.637
Be 2.098 2.522 3.963
Tl 0.000 2.522 0.000
Tl 2.098 0.000 2.800
Pt 0.000 2.522 2.800
Pt 2.098 0.000 0.000
```

## Properties
DFT total energy   -3.79 eV/atom
Energy relative to the elements   0.172 eV per atom
Energy above the most stable polymorph in this dataset   0.304 eV/atom
Total moment   0.00 μB/atom

---

A geometry-optimized BeTl4Pt structure. Source: Alexandria via LeMat-Bulk, functional PBE-GGA.

```
6
Lattice="0.000 4.352 4.352 4.352 0.000 4.352 4.352 4.352 0.000" Properties=species:S:1:pos:R:3 pbc="T T T"
Be 0.000 0.000 0.000
Tl 3.268 3.268 3.268
Tl 5.437 5.437 3.268
Tl 5.437 3.268 5.437
Tl 3.268 5.437 5.437
Pt 6.528 6.528 6.528
```

## Properties
DFT total energy   -2.33 eV/atom
Energy relative to the elements   0.874 eV per atom
Total moment   0.00 μB/atom

---

A geometry-optimized Be2TlPt structure. Source: Alexandria via LeMat-Bulk, functional PBE-GGA.

```
16
Lattice="6.064 0.000 0.000 0.000 6.064 0.000 0.000 0.000 6.064" Properties=species:S:1:pos:R:3 pbc="T T T"
Be 1.516 1.516 1.516
Be 1.516 1.516 4.548
Be 1.516 4.548 1.516
Be 1.516 4.548 4.548
Be 4.548 1.516 1.516
Be 4.548 1.516 4.548
Be 4.548 4.548 1.516
Be 4.548 4.548 4.548
Tl 0.000 0.000 0.000
Tl 0.000 3.032 3.032
Tl 3.032 0.000 3.032
Tl 3.032 3.032 0.000
Pt 0.000 0.000 3.032
Pt 0.000 3.032 0.000
Pt 3.032 0.000 0.000
Pt 3.032 3.032 3.032
```

## Properties
DFT total energy   -3.79 eV/atom
Energy relative to the elements   0.179 eV per atom
Energy above the most stable polymorph in this dataset   0.310 eV/atom
Total moment   0.00 μB/atom

---

A geometry-optimized Be2TlPt2 structure. Source: Alexandria via LeMat-Bulk, functional PBE-GGA.

```
10
Lattice="3.518 0.000 0.000 0.000 3.518 0.000 0.000 0.000 12.356" Properties=species:S:1:pos:R:3 pbc="T T T"
Be 0.000 1.759 3.089
Be 0.000 1.759 9.267
Be 1.759 0.000 3.089
Be 1.759 0.000 9.267
Tl 0.000 0.000 0.000
Tl 1.759 1.759 6.178
Pt 0.000 0.000 4.602
Pt 0.000 0.000 7.754
Pt 1.759 1.759 1.576
Pt 1.759 1.759 10.780
```

## Properties
DFT total energy   -4.73 eV/atom
Energy relative to the elements   -0.346 eV per atom
Energy above the most stable polymorph in this dataset   0.000 eV/atom
Total moment   0.00 μB/atom

---

A geometry-optimized BeTl3Pt structure. Source: Alexandria via LeMat-Bulk, functional PBE-GGA.

```
5
Lattice="4.905 0.000 0.000 0.000 4.905 0.000 0.000 0.000 4.905" Properties=species:S:1:pos:R:3 pbc="T T T"
Be 0.000 0.000 0.000
Tl 0.000 0.000 2.452
Tl 0.000 2.452 0.000
Tl 2.452 0.000 0.000
Pt 2.452 2.452 2.452
```

## Properties
DFT total energy   -2.85 eV/atom
Energy relative to the elements   0.523 eV per atom
Energy above the most stable polymorph in this dataset   0.000 eV/atom
Total moment   0.00 μB/atom

---

A geometry-optimized Be2TlPt structure. Source: Alexandria via LeMat-Bulk, functional PBE-GGA.

```
12
Lattice="3.975 0.000 0.000 -1.988 3.443 0.000 0.000 0.000 15.640" Properties=species:S:1:pos:R:3 pbc="T T T"
Be 0.000 0.000 2.713
Be 0.000 0.000 12.926
Be 0.000 2.295 7.713
Be 0.000 2.295 13.140
Be 1.988 1.148 2.500
Be 1.988 1.148 7.926
Tl 0.000 0.000 0.000
Tl 0.000 2.295 10.426
Tl 1.988 1.148 5.213
Pt 0.000 0.000 7.820
Pt 0.000 2.295 2.607
Pt 1.988 1.148 13.033
```

## Properties
DFT total energy   -4.08 eV/atom
Energy relative to the elements   -0.113 eV per atom
Energy above the most stable polymorph in this dataset   0.018 eV/atom
Total moment   0.00 μB/atom

---

A geometry-optimized Be2TlPt structure. Source: Alexandria via LeMat-Bulk, functional PBE-GGA.

```
8
Lattice="3.777 0.000 0.000 0.000 3.777 0.000 0.000 0.000 8.007" Properties=species:S:1:pos:R:3 pbc="T T T"
Be 0.000 0.000 0.000
Be 0.000 1.888 2.002
Be 1.888 0.000 6.005
Be 1.888 1.888 4.003
Tl 0.000 0.000 4.003
Tl 1.888 1.888 0.000
Pt 0.000 1.888 6.005
Pt 1.888 0.000 2.002
```

## Properties
DFT total energy   -3.75 eV/atom
Energy relative to the elements   0.215 eV per atom
Energy above the most stable polymorph in this dataset   0.347 eV/atom
Total moment   0.00 μB/atom

---

A geometry-optimized Be2TlPt structure. Source: Alexandria via LeMat-Bulk, functional PBE-GGA.

```
16
Lattice="4.456 0.000 0.000 0.000 4.456 0.000 0.000 0.000 15.087" Properties=species:S:1:pos:R:3 pbc="T T T"
Be 0.000 0.000 0.000
Be 0.000 2.228 0.000
Be 1.114 1.114 11.316
Be 1.114 3.342 3.772
Be 2.228 0.000 7.544
Be 2.228 2.228 7.544
Be 3.342 1.114 11.316
Be 3.342 3.342 3.772
Tl 0.000 1.114 5.658
Tl 0.000 3.342 9.430
Tl 2.228 1.114 1.886
Tl 2.228 3.342 13.201
Pt 0.000 1.114 13.201
Pt 0.000 3.342 1.886
Pt 2.228 1.114 9.430
Pt 2.228 3.342 5.658
```

## Properties
DFT total energy   -3.84 eV/atom
Energy relative to the elements   0.124 eV per atom
Energy above the most stable polymorph in this dataset   0.255 eV/atom
Total moment   0.00 μB/atom

---

Question: Which formula does entry 8 have?
Answer: Be2TlPt2